This record from Alexandria via LeMat-Bulk describes a relaxed structure of DyLuCu2. The functional is GGA-PBE.

Cell: 3.4216 3.4216 6.8779 Å, 90.00 90.00 90.00°
Closest atoms and distances in Å follow each position.
Space group P4/mmm (No. 123)
Unique sites:
Dy  0.0000  0.0000  0.0000 (multiplicity 1)  8 Cu 3.02
Lu  0.0000  0.0000  0.5000 (multiplicity 1)  8 Cu 2.92
Cu  0.5000  0.5000  0.2621 (multiplicity 2)  4 Lu 2.92, 4 Dy 3.02

Output
Total energy (eV/atom): -4.607
Distance to the lowest polymorph of the same formula (meV/atom): 0
DFT formation energy (meV per atom): -277.7
M_tot (μB per atom): 0.000

This record from Alexandria via LeMat-Bulk describes a relaxed structure of GdGeSb2. The functional is GGA-PBE.

Cell: 4.6959 4.6959 4.5378 Å, 90.00 90.00 90.00°
Closest atoms and distances in Å follow each position.
Space group P4/mmm (No. 123)
Unique sites:
Gd  0.0000  0.0000  0.0000 (multiplicity 1)  8 Sb 3.27, 4 Ge 3.32
Ge  0.5000  0.5000  0.0000 (multiplicity 1)  8 Sb 3.27, 4 Gd 3.32
Sb  0.0000  0.5000  0.5000 (multiplicity 2)  4 Ge 3.27, 4 Gd 3.27, 4 Sb 3.32

Output
Total energy (eV/atom): -7.162
Distance to the lowest polymorph of the same formula (meV/atom): 0
M_tot (μB per atom): 1.713

This record from Alexandria via LeMat-Bulk describes a relaxed structure of Tb15Pr4Th. The functional is GGA-PBE.

Cell: 5.0930 5.0930 25.2948 Å, 90.00 90.00 90.00°
Closest atoms and distances in Å follow each position.
Space group P4/mmm (No. 123)
Unique sites:
Tb  0.0000  0.0000  0.0000 (multiplicity 1)  8 Tb 3.54, 4 Th 3.60
Tb  0.0000  0.0000  0.1990 (multiplicity 2)  8 Tb 3.59-3.62, 4 Pr 3.60
Tb  0.0000  0.0000  0.3994 (multiplicity 2)  8 Tb 3.60, 4 Pr 3.60
Tb  0.0000  0.5000  0.0971 (multiplicity 4)  2 Th 3.54, 8 Tb 3.54-3.62, 2 Pr 3.62
Tb  0.0000  0.5000  0.2989 (multiplicity 4)  8 Tb 3.59-3.60, 4 Pr 3.59-3.60
Tb  0.0000  0.5000  0.5000 (multiplicity 2)  4 Pr 3.60, 8 Tb 3.60
Pr  0.5000  0.5000  0.1987 (multiplicity 2)  12 Tb 3.59-3.62
Pr  0.5000  0.5000  0.3996 (multiplicity 2)  12 Tb 3.60
Th  0.5000  0.5000  0.0000 (multiplicity 1)  12 Tb 3.54-3.60

Output
Total energy (eV/atom): -4.779
DFT formation energy (meV per atom): 21.0
M_tot (μB per atom): 0.000

This record from Alexandria via LeMat-Bulk describes a relaxed structure of YGa2Co2Ge. The functional is GGA-PBE.

Cell: 4.3417 4.3417 5.5347 Å, 90.00 90.00 90.00°
Closest atoms and distances in Å follow each position.
Space group P4/mmm (No. 123)
Unique sites:
Y  0.0000  0.0000  0.0000 (multiplicity 1)  2 Ge 2.77
Ga  0.5000  0.5000  0.2404 (multiplicity 2)  4 Co 2.60, 2 Ga 2.66-2.87
Co  0.0000  0.5000  0.5000 (multiplicity 2)  2 Ge 2.17
Ge  0.0000  0.0000  0.5000 (multiplicity 1)  4 Co 2.17

Output
Total energy (eV/atom): -5.436
DFT formation energy (meV per atom): -211.5
M_tot (μB per atom): 0.208

This record from Alexandria via LeMat-Bulk describes a relaxed structure of SrPRuAu. The functional is GGA-PBE.

Cell: 3.8395 3.8395 20.0591 Å, 90.00 90.00 120.00°
Closest atoms and distances in Å follow each position.
Space group R3m (No. 160, hexagonal axes)
Unique sites:
Sr  0.0000  0.0000  0.0000 (multiplicity 3)  3 P 2.98, 3 Au 3.18
P  0.0000  0.0000  0.2343 (multiplicity 3)  3 Ru 2.35
Ru  0.0000  0.0000  0.5288 (multiplicity 3)  3 P 2.35
Au  0.0000  0.0000  0.7804 (multiplicity 3)  3 Ru 2.76

Output
Total energy (eV/atom): -5.325
Distance to the lowest polymorph of the same formula (meV/atom): 8
DFT formation energy (meV per atom): -413.5
M_tot (μB per atom): 0.000

This record from Alexandria via LeMat-Bulk describes a relaxed structure of Pm3SmSi3. The functional is GGA-PBE.

Cell: 10.0622 10.0622 6.1953 Å, 90.00 90.00 120.00°
Closest atoms and distances in Å follow each position.
Space group R3m (No. 160, hexagonal axes)
Unique sites:
Pm  0.1855  0.3711  0.0000 (multiplicity 9)  6 Si 2.99-3.24
Sm  0.0000  0.0000  0.7418 (multiplicity 3)  6 Si 2.99-3.21
Si  0.0001  0.5001  0.1863 (multiplicity 9)  6 Pm 2.99-3.24, 2 Sm 2.99-3.21

Output
Total energy (eV/atom): -5.527
M_tot (μB per atom): 0.000

This record from Alexandria via LeMat-Bulk describes a relaxed structure of KCdCu2Cl. The functional is GGA-PBE.

Cell: 4.9303 4.9303 6.2357 Å, 90.00 90.00 90.00°
Closest atoms and distances in Å follow each position.
Space group P4/mmm (No. 123)
Unique sites:
K  0.0000  0.0000  0.0000 (multiplicity 1)  4 Cl 3.49
Cd  0.5000  0.5000  0.5000 (multiplicity 1)  4 Cu 2.47
Cu  0.0000  0.5000  0.5000 (multiplicity 2)  2 Cd 2.47
Cl  0.5000  0.5000  0.0000 (multiplicity 1)  2 Cd 3.12, 4 K 3.49

Output
Total energy (eV/atom): -2.426
M_tot (μB per atom): 0.000

This record from Alexandria via LeMat-Bulk describes a relaxed structure of Ti2Fe5Ge3H2. The functional is GGA-PBE.

Cell: 3.6779 3.6779 20.3107 Å, 90.00 90.00 90.00°
Closest atoms and distances in Å follow each position.
Space group I4/mmm (No. 139)
Unique sites:
Ti  0.0000  0.0000  0.1958 (multiplicity 4)  1 H 2.11
Fe  0.0000  0.0000  0.0000 (multiplicity 2)  2 H 1.86
Fe  0.0000  0.5000  0.0897 (multiplicity 8)  2 H 1.84
Ge  0.0000  0.0000  0.3247 (multiplicity 4)  4 Fe 2.53, 5 Ti 2.62-2.63
Ge  0.0000  0.0000  0.5000 (multiplicity 2)  12 Fe 2.59-2.60
H  0.0000  0.0000  0.0916 (multiplicity 4)  5 Fe 1.84-1.86

Output
Total energy (eV/atom): -6.858
M_tot (μB per atom): 0.819

This record from Alexandria via LeMat-Bulk describes a relaxed structure of KGa2SO6. The functional is GGA-PBE.

Cell: 8.7834 11.1043 6.1108 Å, 90.00 110.49 90.00°
Closest atoms and distances in Å follow each position.
Space group C2/c (No. 15)
Unique sites:
K  0.0000  0.0908  0.2500 (multiplicity 4)  6 O 2.55-2.72
Ga  0.1250  0.4168  0.1402 (multiplicity 8)  3 O 1.88-1.91
S  0.0000  0.2156  0.7500 (multiplicity 4)  4 O 1.54-1.71
O  0.0936  0.2556  0.0364 (multiplicity 8)  1 S 1.71, 1 Ga 1.89
O  0.1269  0.1287  0.7186 (multiplicity 8)  1 S 1.54
O  0.1273  0.4522  0.4469 (multiplicity 8)  2 Ga 1.88-1.91

Output
Total energy (eV/atom): -5.521
M_tot (μB per atom): 0.100

This record from Alexandria via LeMat-Bulk describes a relaxed structure of NbVCrRe. The functional is GGA-PBE.

Cell: 6.1570 6.1570 6.1570 Å, 90.00 90.00 90.00°
Closest atoms and distances in Å follow each position.
Space group F-43m (No. 216)
Unique sites:
Nb  0.0000  0.0000  0.0000 (multiplicity 4)  4 Cr 2.67, 4 Re 2.67
V  0.0000  0.0000  0.5000 (multiplicity 4)  4 Cr 2.67, 4 Re 2.67
Cr  0.2500  0.2500  0.2500 (multiplicity 4)  4 Nb 2.67, 4 V 2.67
Re  0.2500  0.2500  0.7500 (multiplicity 4)  4 Nb 2.67, 4 V 2.67

Output
Total energy (eV/atom): -10.473
DFT formation energy (meV per atom): -157.7
M_tot (μB per atom): 0.000

This record from Alexandria via LeMat-Bulk describes a relaxed structure of Pr4AuSe2Br. The functional is GGA-PBE.

Cell: 7.5143 4.1853 7.5805 Å, 90.00 108.03 90.00°
Closest atoms and distances in Å follow each position.
Space group P2/m (No. 10)
Unique sites:
Pr  0.2337  0.0000  0.2324 (multiplicity 2)  3 Se 2.94-3.05, 1 Au 3.07, 2 Br 3.16
Pr  0.2429  0.5000  0.7506 (multiplicity 2)  3 Se 3.01-3.07, 2 Au 3.03, 1 Br 3.10
Au  0.0000  0.0000  0.5000 (multiplicity 1)  6 Pr 3.03-3.07
Se  0.0000  0.5000  0.0000 (multiplicity 1)  6 Pr 2.94-3.01
Se  0.5000  0.0000  0.0000 (multiplicity 1)  6 Pr 3.05-3.07
Br  0.5000  0.5000  0.5000 (multiplicity 1)  6 Pr 3.10-3.16

Output
Total energy (eV/atom): -5.297
M_tot (μB per atom): 0.000

This record from Alexandria via LeMat-Bulk describes a relaxed structure of KTlCdF6. The functional is GGA-PBE.

Cell: 6.0385 6.0385 5.4251 Å, 90.00 90.00 120.00°
Closest atoms and distances in Å follow each position.
Space group P312 (No. 149)
Unique sites:
K  0.0000  0.0000  0.0000 (multiplicity 1)  6 F 2.71
Tl  0.3333  0.6667  0.5000 (multiplicity 1)  6 F 2.21
Cd  0.6667  0.3333  0.5000 (multiplicity 1)  6 F 2.27
F  0.0077  0.3723  0.7148 (multiplicity 6)  1 Tl 2.21, 1 Cd 2.27

Output
Total energy (eV/atom): -3.941
M_tot (μB per atom): 0.000

This record from Alexandria via LeMat-Bulk describes a relaxed structure of AlBSe2Br. The functional is GGA-PBE.

Cell: 4.5209 4.5209 4.7320 Å, 90.00 90.00 90.00°
Closest atoms and distances in Å follow each position.
Space group P4/mmm (No. 123)
Unique sites:
Al  0.0000  0.0000  0.0000 (multiplicity 1)  4 Br 3.20, 8 Se 3.27
B  0.5000  0.5000  0.5000 (multiplicity 1)  4 Se 2.26, 2 Br 2.37
Se  0.0000  0.5000  0.5000 (multiplicity 2)  2 B 2.26
Br  0.5000  0.5000  0.0000 (multiplicity 1)  2 B 2.37

Output
Total energy (eV/atom): -3.287
Distance to the lowest polymorph of the same formula (meV/atom): 0
M_tot (μB per atom): 0.000

This record from Alexandria via LeMat-Bulk describes a relaxed structure of Ba2GaPdBr. The functional is GGA-PBE.

Cell: 6.2523 6.2523 4.7742 Å, 90.00 90.00 90.00°
Closest atoms and distances in Å follow each position.
Space group P4/mmm (No. 123)
Unique sites:
Ba  0.0000  0.5000  0.0000 (multiplicity 2)  2 Pd 3.13
Ga  0.0000  0.0000  0.5000 (multiplicity 1)  2 Pd 2.39
Pd  0.0000  0.0000  0.0000 (multiplicity 1)  2 Ga 2.39
Br  0.5000  0.5000  0.5000 (multiplicity 1)  8 Ba 3.93

Output
Total energy (eV/atom): -3.613
M_tot (μB per atom): 0.000

This record from Alexandria via LeMat-Bulk describes a relaxed structure of DyHo2Os. The functional is GGA-PBE.

Cell: 7.3873 9.0172 6.3058 Å, 90.00 90.00 90.00°
Closest atoms and distances in Å follow each position.
Space group Pnma (No. 62)
Unique sites:
Dy  0.0392  0.2500  0.1285 (multiplicity 4)  2 Os 2.75-2.84
Ho  0.1746  0.0628  0.6669 (multiplicity 8)  3 Os 2.85-3.14
Os  0.1170  0.7500  0.4598 (multiplicity 4)  2 Dy 2.75-2.84, 4 Ho 2.85-2.94

Output
Total energy (eV/atom): -6.518
Distance to the lowest polymorph of the same formula (meV/atom): 0
DFT formation energy (meV per atom): -270.7
M_tot (μB per atom): 0.000

This record from Alexandria via LeMat-Bulk describes a relaxed structure of Cd5In2Ga4. The functional is GGA-PBE.

Cell: 13.3798 5.7519 8.8337 Å, 90.00 131.28 90.00°
Closest atoms and distances in Å follow each position.
Space group C2/m (No. 12)
Unique sites:
Cd  0.0000  0.0000  0.0000 (multiplicity 2)  4 Ga 2.89, 4 Cd 3.23
Cd  0.0000  0.2476  0.3284 (multiplicity 8)  3 Cd 2.85-3.03, 4 Ga 2.94-3.17
In  0.1837  0.5000  0.1844 (multiplicity 4)  6 Ga 3.00-3.31
Ga  0.2451  0.0000  0.0738 (multiplicity 4)  5 Cd 2.89-3.17, 1 In 3.00, 3 Ga 3.01-3.20
Ga  0.2453  0.0000  0.4150 (multiplicity 4)  5 Cd 2.89-3.17, 1 In 3.00, 3 Ga 3.01-3.21

Output
Total energy (eV/atom): -1.948
DFT formation energy (meV per atom): 66.9
M_tot (μB per atom): 0.000

This record from Alexandria via LeMat-Bulk describes a relaxed structure of KAgIr2Au. The functional is GGA-PBE.

Cell: 5.0088 5.0088 5.2659 Å, 90.00 90.00 90.00°
Closest atoms and distances in Å follow each position.
Space group P4/mmm (No. 123)
Unique sites:
K  0.0000  0.0000  0.0000 (multiplicity 1)  4 Ag 3.54, 8 Ir 3.63
Ag  0.5000  0.5000  0.0000 (multiplicity 1)  2 Au 2.63
Ir  0.0000  0.5000  0.5000 (multiplicity 2)  2 Au 2.50
Au  0.5000  0.5000  0.5000 (multiplicity 1)  4 Ir 2.50, 2 Ag 2.63

Output
Total energy (eV/atom): -3.660
DFT formation energy (meV per atom): 1329.6
M_tot (μB per atom): 0.424

This record from Alexandria via LeMat-Bulk describes a relaxed structure of Y6Ho19Sc4. The functional is GGA-PBE.

Cell: 12.2613 12.2613 12.2613 Å, 90.00 90.00 90.00°
Closest atoms and distances in Å follow each position.
Space group I23 (No. 197)
Unique sites:
Y  0.0000  0.1305  0.5000 (multiplicity 12)  4 Ho 3.17-3.37, 1 Y 3.20
Ho  0.0000  0.0000  0.0000 (multiplicity 2)  6 Ho 3.16
Ho  0.0000  0.0000  0.2579 (multiplicity 12)  5 Ho 3.16-3.49, 2 Sc 3.23, 2 Y 3.37
Ho  0.0660  0.2770  0.7430 (multiplicity 24)  1 Y 3.17, 4 Ho 3.26-3.50, 2 Sc 3.29-3.37
Sc  0.1776  0.1776  0.1776 (multiplicity 8)  9 Ho 3.23-3.37

Output
Total energy (eV/atom): -4.825
DFT formation energy (meV per atom): 385.0
M_tot (μB per atom): 0.000

This record from Alexandria via LeMat-Bulk describes a relaxed structure of AgGeP2. The functional is GGA-PBE.

Cell: 3.5009 3.5009 22.9070 Å, 90.00 90.00 120.00°
Closest atoms and distances in Å follow each position.
Space group R-3m (No. 166, hexagonal axes)
Unique sites:
Ag  0.0000  0.0000  0.0000 (multiplicity 3)  2 P 2.39
Ge  0.0000  0.0000  0.5000 (multiplicity 3)  6 P 2.47
P  0.0000  0.0000  0.1044 (multiplicity 6)  1 Ag 2.39, 3 Ge 2.47

Output
Total energy (eV/atom): -4.251
DFT formation energy (meV per atom): 320.7
M_tot (μB per atom): 0.000

This record from Alexandria via LeMat-Bulk describes a relaxed structure of AlTl3C. The functional is GGA-PBE.

Cell: 5.4276 5.4276 5.4276 Å, 90.00 90.00 90.00°
Closest atoms and distances in Å follow each position.
Space group Pm-3m (No. 221)
Unique sites:
Al  0.0000  0.0000  0.0000 (multiplicity 1)  6 Tl 2.71
Tl  0.0000  0.0000  0.5000 (multiplicity 3)  2 Al 2.71
C  0.5000  0.5000  0.5000 (multiplicity 1)  12 Tl 3.84

Output
Total energy (eV/atom): -2.486
Distance to the lowest polymorph of the same formula (meV/atom): 428
DFT formation energy (meV per atom): 1527.4
M_tot (μB per atom): 0.384